## Ba13Sr2 (PBE)

Data for crystalline Ba13Sr2 at its relaxed geometry.

Cell: 8.259 11.160 11.141 Å, 113.52 82.26 97.79°
Fractional coordinates of all 15 atoms:
Ba1 0.667 0.666 0.999
Ba2 0.333 0.334 0.001
Ba3 0.000 0.000 0.000
Ba4 0.264 0.067 0.599
Ba5 0.736 0.933 0.401
Ba6 0.133 0.532 0.796
Ba7 0.867 0.468 0.204
Ba8 0.395 0.600 0.402
Ba9 0.605 0.400 0.598
Ba10 0.469 0.866 0.799
Ba11 0.531 0.134 0.201
Ba12 0.799 0.200 0.800
Ba13 0.201 0.800 0.200
Sr1 0.933 0.735 0.601
Sr2 0.067 0.265 0.399

Computed properties:
Formation enthalpy at 0 K ... 1 meV/atom
Total magnetic moment ... 0.00 μB per cell
ρ ... 3.50 Mg/m³

## Sc3Cd4Ag2 (PBE)

Data for crystalline Sc3Cd4Ag2 at its relaxed geometry.

Cell: 4.834 5.784 8.911 Å, 119.84 90.00 114.70°
Fractional coordinates of all 9 atoms:
Sc1 0.668 0.336 0.664
Sc2 0.000 0.000 0.000
Sc3 0.332 0.664 0.336
Cd1 0.715 0.430 0.052
Cd2 0.285 0.570 0.948
Cd3 0.941 0.883 0.610
Cd4 0.059 0.117 0.390
Ag1 0.610 0.221 0.278
Ag2 0.390 0.779 0.722

Computed properties:
Formation enthalpy at 0 K ... -224 meV/atom
Total magnetic moment ... 0.02 μB per cell
ρ ... 7.02 Mg/m³

## Tl2NiW (PBE)

Data for crystalline Tl2NiW at its relaxed geometry.

Cell: 4.736 4.736 4.736 Å, 60.00 60.00 60.00°
Fractional coordinates of all 4 atoms:
Ni1 0.000 0.000 0.000
Tl1 0.250 0.250 0.250
Tl2 0.750 0.750 0.750
W1 0.500 0.500 0.500

Computed properties:
Formation enthalpy at 0 K ... 1055 meV/atom
Total magnetic moment ... 1.47 μB per cell
ρ ... 14.39 Mg/m³
E above lowest polymorph ... 532 meV per atom

## La2TbY6Er2 (PBE)

Data for crystalline La2TbY6Er2 at its relaxed geometry.

Cell: 6.136 6.136 11.516 Å, 90.67 90.67 119.15°
Fractional coordinates of all 11 atoms:
La1 0.675 0.325 0.000
La2 0.325 0.675 0.000
Tb1 0.000 0.000 0.500
Y1 0.684 0.684 0.750
Y2 0.012 0.343 0.745
Y3 0.316 0.316 0.250
Y4 0.343 0.012 0.745
Y5 0.988 0.657 0.255
Y6 0.657 0.988 0.255
Er1 0.334 0.666 0.500
Er2 0.666 0.334 0.500

Computed properties:
Formation enthalpy at 0 K ... 167 meV/atom
Total magnetic moment ... 0.00 μB per cell
ρ ... 5.72 Mg/m³

## CsCeO3 (PBE)

Data for crystalline CsCeO3 at its relaxed geometry.

Cell: 4.539 4.539 4.539 Å, 90.00 90.00 90.00°
Fractional coordinates of all 5 atoms:
Cs1 0.500 0.500 0.500
O1 0.000 0.500 0.000
O2 0.000 0.000 0.500
O3 0.500 0.000 0.000
Ce1 0.000 0.000 0.000

Computed properties:
Total magnetic moment ... 1.03 μB per cell
ρ ... 5.70 Mg/m³
Energy relative to the elements, uncorrected ... -2301.8 meV per atom

## NdEr6Tm4 (PBE)

Data for crystalline NdEr6Tm4 at its relaxed geometry.

Cell: 5.582 5.566 25.447 Å, 90.00 90.00 120.09°
Fractional coordinates of all 22 atoms:
Nd1 0.831 0.661 0.250
Nd2 0.169 0.339 0.750
Er1 0.500 0.000 0.000
Er2 0.500 0.000 0.500
Er3 0.163 0.327 0.320
Er4 0.837 0.673 0.680
Er5 0.837 0.673 0.820
Er6 0.163 0.327 0.180
Er7 0.830 0.660 0.399
Er8 0.170 0.340 0.601
Er9 0.170 0.340 0.899
Er10 0.830 0.660 0.101
Er11 0.497 0.994 0.250
Er12 0.503 0.006 0.750
Tm1 0.834 0.669 0.541
Tm2 0.496 0.992 0.121
Tm3 0.166 0.331 0.459
Tm4 0.504 0.008 0.879
Tm5 0.834 0.669 0.959
Tm6 0.166 0.331 0.041
Tm7 0.504 0.008 0.621
Tm8 0.496 0.992 0.379

Computed properties:
Formation enthalpy at 0 K ... 123 meV/atom
Total magnetic moment ... 0.00 μB per cell
ρ ... 8.85 Mg/m³
E above lowest polymorph ... 0 meV per atom

## In5Ag2Sn2 (PBE)

Data for crystalline In5Ag2Sn2 at its relaxed geometry.

Cell: 7.266 7.328 9.377 Å, 90.00 67.21 90.00°
Fractional coordinates of all 18 atoms:
In1 0.000 0.000 0.000
In2 0.500 0.500 0.000
In3 0.458 0.164 0.752
In4 0.790 0.836 0.752
In5 0.290 0.664 0.752
In6 0.958 0.336 0.752
In7 0.542 0.836 0.248
In8 0.210 0.164 0.248
In9 0.710 0.336 0.248
In10 0.042 0.664 0.248
Ag1 0.135 0.365 0.000
Ag2 0.865 0.635 0.000
Ag3 0.365 0.865 0.000
Ag4 0.635 0.135 0.000
Sn1 0.219 0.000 0.561
Sn2 0.719 0.500 0.561
Sn3 0.781 0.000 0.439
Sn4 0.281 0.500 0.439

Computed properties:
Formation enthalpy at 0 K ... 49 meV/atom
Total magnetic moment ... 0.00 μB per cell
ρ ... 7.41 Mg/m³

## TiRhAu2 (PBE)

Data for crystalline TiRhAu2 at its relaxed geometry.

Cell: 4.540 4.540 4.540 Å, 60.00 60.00 60.00°
Fractional coordinates of all 4 atoms:
Rh1 0.500 0.500 0.500
Au1 0.250 0.250 0.250
Au2 0.750 0.750 0.750
Ti1 0.000 0.000 0.000

Computed properties:
Formation enthalpy at 0 K ... -205 meV/atom
Total magnetic moment ... 0.00 μB per cell
ρ ... 13.67 Mg/m³

## Pm2ZnIn (PBE)

Data for crystalline Pm2ZnIn at its relaxed geometry.

Cell: 5.342 5.342 5.342 Å, 60.00 60.00 60.00°
Fractional coordinates of all 4 atoms:
Zn1 0.750 0.750 0.750
In1 0.250 0.250 0.250
Pm1 0.500 0.500 0.500
Pm2 0.000 0.000 0.000

Computed properties:
Formation enthalpy at 0 K ... -392 meV/atom
Total magnetic moment ... 0.00 μB per cell
ρ ... 7.25 Mg/m³

## Cr2NiSb (PBE)

Data for crystalline Cr2NiSb at its relaxed geometry.

Cell: 7.907 7.907 7.907 Å, 21.95 21.95 21.95°
Fractional coordinates of all 4 atoms:
Cr1 0.988 0.988 0.988
Cr2 0.253 0.253 0.253
Ni1 0.507 0.507 0.507
Sb1 0.753 0.753 0.753

Computed properties:
Total magnetic moment ... 0.42 μB per cell
ρ ... 7.80 Mg/m³
Energy relative to the elements, uncorrected ... 468.3 meV per atom

## BaIr3Se (PBE)

Data for crystalline BaIr3Se at its relaxed geometry.

Cell: 4.783 4.783 4.783 Å, 90.00 90.00 90.00°
Fractional coordinates of all 5 atoms:
Ir1 0.000 0.500 0.000
Ir2 0.000 0.000 0.500
Ir3 0.500 0.000 0.000
Ba1 0.500 0.500 0.500
Se1 0.000 0.000 0.000

Computed properties:
Total magnetic moment ... 0.00 μB per cell
ρ ... 12.03 Mg/m³
Energy relative to the elements, uncorrected ... 615.9 meV per atom
E above lowest polymorph ... 0 meV per atom

## ZrIrAu2 (PBE)

Data for crystalline ZrIrAu2 at its relaxed geometry.

Cell: 4.674 4.674 4.674 Å, 60.00 60.00 60.00°
Fractional coordinates of all 4 atoms:
Au1 0.000 0.000 0.000
Au2 0.250 0.250 0.250
Ir1 0.500 0.500 0.500
Zr1 0.750 0.750 0.750

Computed properties:
Formation enthalpy at 0 K ... -310 meV/atom
Total magnetic moment ... 0.00 μB per cell
ρ ... 15.58 Mg/m³
E above lowest polymorph ... 153 meV per atom